Entry 1:
A relaxed structure of Rb2ReO5. Source: Alexandria via LeMat-Bulk, functional GGA-PBE.

a = 3.8953 Å, b = 6.5496 Å, c = 6.5496 Å
α = 90.00°, β = 90.00°, γ = 90.00°
Last column: magnetic moment on the atom in μB.
Positions (direct):
O1 0.5000 0.0000 0.0000  0.03
Rb1 0.5000 0.5000 0.0000  0.00
O2 0.0000 0.2012 0.7988  0.23
O3 0.0000 0.7988 0.2012  0.23
Rb2 0.5000 0.0000 0.5000  0.00
O4 0.0000 0.7988 0.7988  0.23
O5 0.0000 0.2012 0.2012  0.23
Re1 0.0000 0.0000 0.0000  -0.11

Its space group is P4/mmm, No. 123. As for the volume: 167 Å³ per cell. As for the crystal system: tetragonal. The value obtained for the raw total energy is -6.385 eV per atom. The value obtained for the energy relative to the elements, uncorrected is -1.488 eV/atom. For the total moment, the calculation gives 1.0 μB/cell. The value obtained for the offset from the most stable computed form is 120 meV per atom.

=====

Entry 2:
A relaxed structure of Rb3Re2O7. Source: Alexandria via LeMat-Bulk, functional GGA-PBE.

a = 3.9430 Å, b = 3.9540 Å, c = 12.2280 Å
α = 99.30°, β = 90.00°, γ = 90.00°
Positions (direct):
O1 0.0000 0.4165 0.8330
Rb1 0.5000 0.6791 0.3582
Re1 0.0000 0.0839 0.1678
Rb2 0.5000 0.5000 0.0000
Rb3 0.5000 0.3209 0.6418
O2 0.0000 0.5835 0.1670
O3 0.0000 0.1618 0.3236
O4 0.0000 0.8382 0.6764
O5 0.0000 0.0000 0.0000
Re2 0.0000 0.9161 0.8322
O6 0.5000 0.0835 0.1669
O7 0.5000 0.9165 0.8331

Its space group is Cmmm, No. 65. As for the volume: 188 Å³ per cell. As for the crystal system: orthorhombic. The value obtained for the raw total energy is -6.830 eV per atom. The value obtained for the energy relative to the elements, uncorrected is -1.621 eV/atom. For the total moment, the calculation gives 0.0 μB/cell.

=====

Entry 3:
A relaxed structure of RbReO4. Source: Alexandria via LeMat-Bulk, functional GGA-PBE.

a = 7.9424 Å, b = 8.0326 Å, c = 8.3344 Å
α = 90.00°, β = 90.00°, γ = 103.44°
Positions (direct):
O1 0.7083 0.0284 0.8939
O2 0.8062 0.3734 0.7891
Rb1 0.3978 0.2255 0.8483
O3 0.9642 0.7594 0.0047
O4 0.0131 0.8745 0.3291
Re1 0.3852 0.6931 0.6622
O5 0.2917 0.9716 0.1061
O6 0.2083 0.5284 0.6061
O7 0.1938 0.6266 0.2109
O8 0.4869 0.6255 0.8291
O9 0.7917 0.4716 0.3939
O10 0.3062 0.8734 0.7109
Re2 0.8852 0.1931 0.8378
O11 0.6938 0.1266 0.2891
Rb2 0.1022 0.2745 0.3483
Rb3 0.8978 0.7255 0.6517
Re3 0.1148 0.8069 0.1622
O12 0.5131 0.3745 0.1709
Rb4 0.6022 0.7745 0.1517
O13 0.0358 0.2406 0.9953
O14 0.5358 0.7406 0.5047
Re4 0.6148 0.3069 0.3378
O15 0.9869 0.1255 0.6709
O16 0.4642 0.2594 0.4953

Its space group is P2_1/c, No. 14. As for the volume: 517 Å³ per cell. As for the crystal system: monoclinic. The value obtained for the raw total energy is -7.420 eV per atom. The value obtained for the energy relative to the elements, uncorrected is -1.879 eV/atom. For the total moment, the calculation gives 0.4 μB/cell.

=====

Entry 4:
A relaxed structure of RbReO2. Source: Alexandria via LeMat-Bulk, functional GGA-PBE.

a = 4.2049 Å, b = 4.2049 Å, c = 4.2049 Å
α = 60.00°, β = 60.00°, γ = 60.00°
Last column: magnetic moment on the atom in μB.
Positions (direct):
O1 0.7500 0.7500 0.7500  -0.06
Re1 0.5000 0.5000 0.5000  1.37
O2 0.2500 0.2500 0.2500  -0.06
Rb1 0.0000 0.0000 0.0000  0.04

Its space group is Fm-3m, No. 225. As for the volume: 53 Å³ per cell. As for the crystal system: cubic. The value obtained for the raw total energy is -5.151 eV per atom. The value obtained for the energy relative to the elements, uncorrected is 0.682 eV/atom. For the total moment, the calculation gives 1.4 μB/cell. The value obtained for the offset from the most stable computed form is 1639 meV per atom.

=====

Entry 5:
A relaxed structure of RbRe2RhO8. Source: Alexandria via LeMat-Bulk, functional GGA-PBE.

a = 5.5677 Å, b = 5.5677 Å, c = 8.2074 Å
α = 86.23°, β = 86.23°, γ = 66.69°
Last column: magnetic moment on the atom in μB.
Positions (direct):
O1 0.2372 0.7161 0.8117  0.01
Re1 0.6281 0.6281 0.2122  0.13
O2 0.2839 0.7628 0.1883  0.01
O3 0.7628 0.2839 0.1883  0.01
Re2 0.3719 0.3719 0.7879  0.13
O4 0.7752 0.7752 0.0622  0.07
O5 0.7161 0.2372 0.8117  0.01
O6 0.3083 0.3083 0.5915  0.02
O7 0.2248 0.2248 0.9378  0.07
Rh1 0.0000 0.0000 0.0000  1.43
O8 0.6917 0.6917 0.4085  0.02
Rb1 0.0000 0.0000 0.5000  0.00

Its space group is C2/m, No. 12. As for the volume: 233 Å³ per cell. As for the crystal system: monoclinic. The value obtained for the raw total energy is -7.526 eV per atom. The value obtained for the energy relative to the elements, uncorrected is -1.452 eV/atom. For the total moment, the calculation gives 2.0 μB/cell.

=====

Entry 6:
A relaxed structure of RbReRuO6. Source: Alexandria via LeMat-Bulk, functional GGA-PBE.

a = 5.3317 Å, b = 5.3317 Å, c = 6.2215 Å
α = 90.00°, β = 90.00°, γ = 60.00°
Last column: magnetic moment on the atom in μB.
Positions (direct):
O1 0.9891 0.6132 0.6701  0.08
Ru1 0.3333 0.3333 0.5000  1.43
O2 0.3976 0.6132 0.3299  0.08
O3 0.3976 0.9892 0.6700  0.08
O4 0.6132 0.3977 0.6701  0.08
Rb1 0.0000 0.0000 0.0000  0.00
Re1 0.6666 0.6667 0.5000  -0.04
O5 0.9891 0.3977 0.3299  0.08
O6 0.6132 0.9891 0.3299  0.08

Its space group is P312, No. 149. As for the volume: 153 Å³ per cell. As for the crystal system: trigonal. The value obtained for the raw total energy is -7.209 eV per atom. The value obtained for the energy relative to the elements, uncorrected is -1.382 eV/atom. For the total moment, the calculation gives 2.0 μB/cell.

=====

Entry 7:
A relaxed structure of RbReSO3. Source: Alexandria via LeMat-Bulk, functional GGA-PBE.

a = 7.8512 Å, b = 8.4813 Å, c = 9.5329 Å
α = 109.00°, β = 90.00°, γ = 90.00°
Positions (direct):
Re1 0.3878 0.4519 0.7693
O1 0.5194 0.2861 0.7728
O2 0.4806 0.7139 0.2272
O3 0.0181 0.8734 0.2073
O4 0.7652 0.5061 0.0887
S1 0.7428 0.6114 0.4414
O5 0.5181 0.6266 0.7927
O6 0.7348 0.0061 0.0887
S2 0.2428 0.8886 0.5586
O7 0.4819 0.3734 0.2073
S3 0.2572 0.3886 0.5586
Re2 0.6122 0.5481 0.2307
Rb1 0.3794 0.0438 0.2192
O8 0.9806 0.7861 0.7728
O9 0.0194 0.2139 0.2272
Rb2 0.1206 0.5438 0.2192
O10 0.2348 0.4939 0.9113
O11 0.9819 0.1266 0.7927
Re3 0.1122 0.9519 0.7693
Rb3 0.6206 0.9562 0.7808
S4 0.7572 0.1114 0.4414
Rb4 0.8794 0.4562 0.7808
Re4 0.8878 0.0481 0.2307
O12 0.2652 0.9939 0.9113

Its space group is P2_1/c, No. 14. As for the volume: 600 Å³ per cell. As for the crystal system: monoclinic. The value obtained for the raw total energy is -6.946 eV per atom. The value obtained for the energy relative to the elements, uncorrected is -1.543 eV/atom. For the total moment, the calculation gives 0.0 μB/cell.

=====

Entry 8:
A relaxed structure of RbReSbO6. Source: Alexandria via LeMat-Bulk, functional GGA-PBE.

a = 5.4240 Å, b = 5.4239 Å, c = 6.2626 Å
α = 89.99°, β = 89.99°, γ = 60.00°
Last column: magnetic moment on the atom in μB.
Positions (direct):
O1 0.9839 0.5966 0.6807  0.01
Rb1 0.0000 0.0000 0.0000  0.00
O2 0.4194 0.9839 0.6807  0.01
Sb1 0.3333 0.3333 0.5000  0.03
O3 0.5966 0.9840 0.3193  0.01
O4 0.5966 0.4194 0.6807  0.01
O5 0.4194 0.5966 0.3193  0.01
O6 0.9839 0.4195 0.3193  0.01
Re1 0.6666 0.6667 0.5000  0.26

Its space group is P312, No. 149. As for the volume: 160 Å³ per cell. As for the crystal system: trigonal. The value obtained for the raw total energy is -6.826 eV per atom. The value obtained for the energy relative to the elements, uncorrected is -1.572 eV/atom. For the total moment, the calculation gives 0.4 μB/cell.